An optimized crystal structure of BeCdCuBi, computed with PBE.

The structure belongs to space group F-43m (No. 216); the cell edges are 6.795, 6.795 and 6.795 Å and the angles 90.00°, 90.00° and 90.00°. The distinct sites, in fractional coordinates, are Be at (0.000, 0.000, 0.000), Cd at (0.250, 0.250, 0.250), Cu at (0.250, 0.250, 0.750) and Bi at (0.000, 0.000, 0.500).

As for the raw total energy: -2.47 eV/atom. The value obtained for the density is 8.3 g/cm³. As for the crystal system: cubic. The offset from the most stable computed form comes out at 13.2 kJ per mole of atoms. As for the volume: 19.60 A^3/atom.